(one)
# ScSi3H, optimized geometry, DFT PBE-GGA
data_ScSi3H
_chemical_formula_sum 'Sc1 Si3 H1'
_cell_length_a 5.094
_cell_length_b 5.094
_cell_length_c 5.094
_cell_angle_alpha 90.00
_cell_angle_beta 90.00
_cell_angle_gamma 90.00
_space_group_name_H-M_alt 'P m -3 m'
_space_group_IT_number 221
_space_group_name_Hall '-P 4 2 3'
loop_
_atom_site_label
_atom_site_type_symbol
_atom_site_fract_x
_atom_site_fract_y
_atom_site_fract_z
Sc1 Sc 0.000 0.000 0.000
Si1 Si 0.000 0.000 0.500
H1 H 0.500 0.500 0.500
# Spin magnetization in Bohr magnetons per cell: 1.0
# Crystal system: cubic

---

(two)
# ScSi3H, optimized geometry, DFT PBE-GGA
data_ScSi3H
_chemical_formula_sum 'Sc1 Si3 H1'
_cell_length_a 4.034
_cell_length_b 4.034
_cell_length_c 4.034
_cell_angle_alpha 90.00
_cell_angle_beta 90.00
_cell_angle_gamma 90.00
_space_group_name_H-M_alt 'P m -3 m'
_space_group_IT_number 221
_space_group_name_Hall '-P 4 2 3'
loop_
_atom_site_label
_atom_site_type_symbol
_atom_site_fract_x
_atom_site_fract_y
_atom_site_fract_z
Sc1 Sc 0.000 0.000 0.000
Si1 Si 0.000 0.500 0.500
H1 H 0.500 0.500 0.500
# Spin magnetization in Bohr magnetons per cell: 0.0
# Crystal system: cubic

---

Most stable structure - (two); separation to the second - 1382 meV per atom.

---

(one)
# SmScH2, optimized geometry, DFT PBE-GGA
data_SmScH2
_chemical_formula_sum 'Sm3 Sc3 H6'
_cell_length_a 3.3756
_cell_length_b 3.3756
_cell_length_c 17.2326
_cell_angle_alpha 90.00
_cell_angle_beta 90.00
_cell_angle_gamma 120.00
_space_group_name_H-M_alt 'R 3 m'
_space_group_IT_number 160
_space_group_name_Hall 'R 3 -2"'
loop_
_atom_site_label
_atom_site_type_symbol
_atom_site_fract_x
_atom_site_fract_y
_atom_site_fract_z
Sm1 Sm 0.0000 0.0000 0.0000
Sc1 Sc 0.0000 0.0000 0.1787
H1 H 0.0000 0.0000 0.5743
H2 H 0.0000 0.0000 0.7839
# Spin magnetization in Bohr magnetons per cell: 0.0
# Crystal system: trigonal

---

(two)
# SmScH2, optimized geometry, DFT PBE-GGA
data_SmScH2
_chemical_formula_sum 'Sm3 Sc3 H6'
_cell_length_a 3.3899
_cell_length_b 3.3899
_cell_length_c 16.6238
_cell_angle_alpha 90.00
_cell_angle_beta 90.00
_cell_angle_gamma 120.00
_space_group_name_H-M_alt 'R -3 m'
_space_group_IT_number 166
_space_group_name_Hall '-R 3 2"'
loop_
_atom_site_label
_atom_site_type_symbol
_atom_site_fract_x
_atom_site_fract_y
_atom_site_fract_z
Sm1 Sm 0.0000 0.0000 0.0000
Sc1 Sc 0.0000 0.0000 0.5000
H1 H 0.0000 0.0000 0.2346
# Spin magnetization in Bohr magnetons per cell: 0.0
# Crystal system: trigonal

---

Most stable structure - (two); separation to the second - 69 meV per atom.

---

(one)
# SmScH, optimized geometry, DFT PBE-GGA
data_SmScH
_chemical_formula_sum 'Sm1 Sc1 H1'
_cell_length_a 3.360
_cell_length_b 3.360
_cell_length_c 4.913
_cell_angle_alpha 90.00
_cell_angle_beta 90.00
_cell_angle_gamma 90.00
_space_group_name_H-M_alt 'P 4/m m m'
_space_group_IT_number 123
_space_group_name_Hall '-P 4 2'
loop_
_atom_site_label
_atom_site_type_symbol
_atom_site_fract_x
_atom_site_fract_y
_atom_site_fract_z
Sm1 Sm 0.000 0.000 0.000
Sc1 Sc 0.500 0.500 0.500
H1 H 0.000 0.000 0.500
# Spin magnetization in Bohr magnetons per cell: 0.0
# Crystal system: tetragonal

---

(two)
# SmScH, optimized geometry, DFT PBE-GGA
data_SmScH
_chemical_formula_sum 'Sm2 Sc2 H2'
_cell_length_a 3.319
_cell_length_b 3.319
_cell_length_c 11.546
_cell_angle_alpha 90.00
_cell_angle_beta 90.00
_cell_angle_gamma 90.00
_space_group_name_H-M_alt 'I 4 m m'
_space_group_IT_number 107
_space_group_name_Hall 'I 4 -2'
loop_
_atom_site_label
_atom_site_type_symbol
_atom_site_fract_x
_atom_site_fract_y
_atom_site_fract_z
Sm1 Sm 0.000 0.000 0.000
Sc1 Sc 0.000 0.000 0.292
H1 H 0.000 0.000 0.470
# Spin magnetization in Bohr magnetons per cell: 0.0
# Crystal system: tetragonal

---

(three)
# SmScH, optimized geometry, DFT PBE-GGA
data_SmScH
_chemical_formula_sum 'Sm1 Sc1 H1'
_cell_length_a 3.4899
_cell_length_b 3.4899
_cell_length_c 5.5143
_cell_angle_alpha 90.00
_cell_angle_beta 90.00
_cell_angle_gamma 120.00
_space_group_name_H-M_alt 'P 3 m 1'
_space_group_IT_number 156
loop_
_space_group_symop_operation_xyz
'x,y,z'
'-y,x-y,z'
'-x+y,-x,z'
'-y,-x,z'
'-x+y,y,z'
'x,x-y,z'
loop_
_atom_site_label
_atom_site_type_symbol
_atom_site_fract_x
_atom_site_fract_y
_atom_site_fract_z
Sm1 Sm 0.0000 0.0000 0.0000
Sc1 Sc 0.6667 0.3333 0.5154
H1 H 0.3333 0.6667 0.7265
# Spin magnetization in Bohr magnetons per cell: 0.0
# Crystal system: trigonal

---

Most stable structure - (one); separation to the second - 58 meV per atom.

---

(one)
# Sc2SnH, optimized geometry, DFT PBE-GGA
data_Sc2SnH
_chemical_formula_sum 'Sc6 Sn3 H3'
_cell_length_a 3.3107
_cell_length_b 3.3107
_cell_length_c 25.0166
_cell_angle_alpha 90.00
_cell_angle_beta 90.00
_cell_angle_gamma 120.00
_space_group_name_H-M_alt 'R -3 m'
_space_group_IT_number 166
_space_group_name_Hall '-R 3 2"'
loop_
_atom_site_label
_atom_site_type_symbol
_atom_site_fract_x
_atom_site_fract_y
_atom_site_fract_z
Sc1 Sc 0.0000 0.0000 0.1186
Sn1 Sn 0.0000 0.0000 0.0000
H1 H 0.0000 0.0000 0.5000
# Spin magnetization in Bohr magnetons per cell: 0.0
# Crystal system: trigonal

---

(two)
# Sc2SnH, optimized geometry, DFT PBE-GGA
data_Sc2SnH
_chemical_formula_sum 'Sc8 Sn4 H4'
_cell_length_a 6.489
_cell_length_b 6.489
_cell_length_c 6.918
_cell_angle_alpha 90.00
_cell_angle_beta 90.00
_cell_angle_gamma 90.00
_space_group_name_H-M_alt 'I -4 2 d'
_space_group_IT_number 122
_space_group_name_Hall 'I -4 2bw'
loop_
_atom_site_label
_atom_site_type_symbol
_atom_site_fract_x
_atom_site_fract_y
_atom_site_fract_z
Sc1 Sc 0.146 0.750 0.125
Sn1 Sn 0.000 0.000 0.500
H1 H 0.000 0.000 0.000
# Spin magnetization in Bohr magnetons per cell: 0.0
# Crystal system: tetragonal

---

(three)
# Sc2SnH, optimized geometry, DFT PBE-GGA
data_Sc2SnH
_chemical_formula_sum 'Sc4 Sn2 H2'
_cell_length_a 4.235
_cell_length_b 4.235
_cell_length_c 7.950
_cell_angle_alpha 90.00
_cell_angle_beta 90.00
_cell_angle_gamma 90.00
_space_group_name_H-M_alt 'P 4/n m m'
_space_group_IT_number 129
loop_
_space_group_symop_operation_xyz
'x,y,z'
'-x,-y,-z'
'-y+1/2,x,z'
'y+1/2,-x,-z'
'-x+1/2,-y+1/2,z'
'x+1/2,y+1/2,-z'
'y,-x+1/2,z'
'-y,x+1/2,-z'
'x+1/2,-y,-z'
'-x+1/2,y,z'
'-y,-x,-z'
'y,x,z'
'-x,y+1/2,-z'
'x,-y+1/2,z'
'y+1/2,x+1/2,-z'
'-y+1/2,-x+1/2,z'
loop_
_atom_site_label
_atom_site_type_symbol
_atom_site_fract_x
_atom_site_fract_y
_atom_site_fract_z
Sc1 Sc 0.250 0.250 0.158
Sc2 Sc 0.250 0.750 0.500
Sn1 Sn 0.250 0.250 0.786
H1 H 0.250 0.250 0.422
# Spin magnetization in Bohr magnetons per cell: 0.9
# Crystal system: tetragonal

---

Most stable structure - (three); separation to the second - 149 meV per atom.

---

(one)
# Sc2SnH, optimized geometry, DFT PBE-GGA
data_Sc2SnH
_chemical_formula_sum 'Sc6 Sn3 H3'
_cell_length_a 3.3793
_cell_length_b 3.3793
_cell_length_c 25.4240
_cell_angle_alpha 90.00
_cell_angle_beta 90.00
_cell_angle_gamma 120.00
_space_group_name_H-M_alt 'R -3 m'
_space_group_IT_number 166
_space_group_name_Hall '-R 3 2"'
loop_
_atom_site_label
_atom_site_type_symbol
_atom_site_fract_x
_atom_site_fract_y
_atom_site_fract_z
Sc1 Sc 0.0000 0.0000 0.0724
Sn1 Sn 0.0000 0.0000 0.5000
H1 H 0.0000 0.0000 0.0000
# Spin magnetization in Bohr magnetons per cell: 4.2
# Crystal system: trigonal

---

(two)
# Sc2SnH, optimized geometry, DFT PBE-GGA
data_Sc2SnH
_chemical_formula_sum 'Sc8 Sn4 H4'
_cell_length_a 6.778
_cell_length_b 6.778
_cell_length_c 6.778
_cell_angle_alpha 90.00
_cell_angle_beta 90.00
_cell_angle_gamma 90.00
_space_group_name_H-M_alt 'F m -3 m'
_space_group_IT_number 225
_space_group_name_Hall '-F 4 2 3'
loop_
_atom_site_label
_atom_site_type_symbol
_atom_site_fract_x
_atom_site_fract_y
_atom_site_fract_z
Sc1 Sc 0.250 0.250 0.250
Sn1 Sn 0.000 0.000 0.000
H1 H 0.000 0.000 0.500
# Spin magnetization in Bohr magnetons per cell: 3.1
# Crystal system: cubic

---

(three)
# Sc2SnH, optimized geometry, DFT PBE-GGA
data_Sc2SnH
_chemical_formula_sum 'Sc8 Sn4 H4'
_cell_length_a 8.076
_cell_length_b 5.767
_cell_length_c 6.272
_cell_angle_alpha 90.00
_cell_angle_beta 90.00
_cell_angle_gamma 90.00
_space_group_name_H-M_alt 'P n a 21'
_space_group_IT_number 33
loop_
_space_group_symop_operation_xyz
'x,y,z'
'-x,-y,z+1/2'
'-x+1/2,y+1/2,z+1/2'
'x+1/2,-y+1/2,z'
loop_
_atom_site_label
_atom_site_type_symbol
_atom_site_fract_x
_atom_site_fract_y
_atom_site_fract_z
Sc1 Sc 0.007 0.037 0.000
Sc2 Sc 0.159 0.587 0.237
Sn1 Sn 0.186 0.614 0.757
H1 H 0.073 0.179 0.723
# Spin magnetization in Bohr magnetons per cell: 0.0
# Crystal system: orthorhombic

---

Most stable structure - (three); separation to the second - 359 meV per atom.

---

(one)
# ScSnH, optimized geometry, DFT PBE-GGA
data_ScSnH
_chemical_formula_sum 'Sc6 Sn6 H6'
_cell_length_a 5.220
_cell_length_b 10.335
_cell_length_c 6.049
_cell_angle_alpha 90.00
_cell_angle_beta 90.00
_cell_angle_gamma 90.00
_space_group_name_H-M_alt 'A m m 2'
_space_group_IT_number 38
loop_
_space_group_symop_operation_xyz
'x,y,z'
'-x,-y,z'
'-x,y,z'
'x,-y,z'
'x,y+1/2,z+1/2'
'-x,-y+1/2,z+1/2'
'-x,y+1/2,z+1/2'
'x,-y+1/2,z+1/2'
loop_
_atom_site_label
_atom_site_type_symbol
_atom_site_fract_x
_atom_site_fract_y
_atom_site_fract_z
Sc1 Sc 0.000 0.000 0.000
Sc2 Sc 0.500 0.168 0.480
Sn1 Sn 0.000 0.000 0.475
Sn2 Sn 0.000 0.239 0.747
H1 H 0.500 0.000 0.647
H2 H 0.500 0.158 0.143
# Spin magnetization in Bohr magnetons per cell: 0.0
# Crystal system: orthorhombic

---

(two)
# ScSnH, optimized geometry, DFT PBE-GGA
data_ScSnH
_chemical_formula_sum 'Sc4 Sn4 H4'
_cell_length_a 11.485
_cell_length_b 3.383
_cell_length_c 6.063
_cell_angle_alpha 90.00
_cell_angle_beta 121.27
_cell_angle_gamma 90.00
_space_group_name_H-M_alt 'C 1 2/m 1'
_space_group_IT_number 12
loop_
_space_group_symop_operation_xyz
'x,y,z'
'-x,-y,-z'
'-x,y,-z'
'x,-y,z'
'x+1/2,y+1/2,z'
'-x+1/2,-y+1/2,-z'
'-x+1/2,y+1/2,-z'
'x+1/2,-y+1/2,z'
loop_
_atom_site_label
_atom_site_type_symbol
_atom_site_fract_x
_atom_site_fract_y
_atom_site_fract_z
Sc1 Sc 0.212 0.000 0.247
Sn1 Sn 0.023 0.500 0.764
H1 H 0.211 0.000 0.574
# Spin magnetization in Bohr magnetons per cell: 0.0
# Crystal system: monoclinic

---

(three)
# ScSnH, optimized geometry, DFT PBE-GGA
data_ScSnH
_chemical_formula_sum 'Sc1 Sn1 H1'
_cell_length_a 3.3908
_cell_length_b 3.3908
_cell_length_c 4.9082
_cell_angle_alpha 90.00
_cell_angle_beta 90.00
_cell_angle_gamma 120.00
_space_group_name_H-M_alt 'P -6 m 2'
_space_group_IT_number 187
_space_group_name_Hall 'P -6 2'
loop_
_atom_site_label
_atom_site_type_symbol
_atom_site_fract_x
_atom_site_fract_y
_atom_site_fract_z
Sc1 Sc 0.0000 0.0000 0.0000
Sn1 Sn 0.6667 0.3333 0.5000
H1 H 0.3333 0.6667 0.0000
# Spin magnetization in Bohr magnetons per cell: 0.0
# Crystal system: hexagonal

---

(four)
# ScSnH, optimized geometry, DFT PBE-GGA
data_ScSnH
_chemical_formula_sum 'Sc4 Sn4 H4'
_cell_length_a 9.785
_cell_length_b 3.399
_cell_length_c 5.981
_cell_angle_alpha 90.00
_cell_angle_beta 90.00
_cell_angle_gamma 90.00
_space_group_name_H-M_alt 'P n m a'
_space_group_IT_number 62
loop_
_space_group_symop_operation_xyz
'x,y,z'
'-x,-y,-z'
'-x+1/2,-y,z+1/2'
'x+1/2,y,-z+1/2'
'x+1/2,-y+1/2,-z+1/2'
'-x+1/2,y+1/2,z+1/2'
'-x,y+1/2,-z'
'x,-y+1/2,z'
loop_
_atom_site_label
_atom_site_type_symbol
_atom_site_fract_x
_atom_site_fract_y
_atom_site_fract_z
Sc1 Sc 0.006 0.250 0.229
Sn1 Sn 0.235 0.250 0.572
H1 H 0.043 0.250 0.909
# Spin magnetization in Bohr magnetons per cell: 0.0
# Crystal system: orthorhombic

---

Most stable structure - (three); separation to the second - 39 meV per atom.

---

(one)
# ScSnH, optimized geometry, DFT PBE-GGA
data_ScSnH
_chemical_formula_sum 'Sc4 Sn4 H4'
_cell_length_a 5.345
_cell_length_b 6.639
_cell_length_c 5.812
_cell_angle_alpha 90.00
_cell_angle_beta 90.00
_cell_angle_gamma 90.00
_space_group_name_H-M_alt 'P n m a'
_space_group_IT_number 62
loop_
_space_group_symop_operation_xyz
'x,y,z'
'-x,-y,-z'
'-x+1/2,-y,z+1/2'
'x+1/2,y,-z+1/2'
'x+1/2,-y+1/2,-z+1/2'
'-x+1/2,y+1/2,z+1/2'
'-x,y+1/2,-z'
'x,-y+1/2,z'
loop_
_atom_site_label
_atom_site_type_symbol
_atom_site_fract_x
_atom_site_fract_y
_atom_site_fract_z
Sc1 Sc 0.000 0.000 0.000
Sn1 Sn 0.000 0.250 0.469
H1 H 0.001 0.250 0.839
# Spin magnetization in Bohr magnetons per cell: 0.0
# Crystal system: orthorhombic

---

(two)
# ScSnH, optimized geometry, DFT PBE-GGA
data_ScSnH
_chemical_formula_sum 'Sc4 Sn4 H4'
_cell_length_a 6.216
_cell_length_b 3.539
_cell_length_c 10.097
_cell_angle_alpha 90.00
_cell_angle_beta 90.00
_cell_angle_gamma 90.00
_space_group_name_H-M_alt 'P n m a'
_space_group_IT_number 62
loop_
_space_group_symop_operation_xyz
'x,y,z'
'-x,-y,-z'
'-x+1/2,-y,z+1/2'
'x+1/2,y,-z+1/2'
'x+1/2,-y+1/2,-z+1/2'
'-x+1/2,y+1/2,z+1/2'
'-x,y+1/2,-z'
'x,-y+1/2,z'
loop_
_atom_site_label
_atom_site_type_symbol
_atom_site_fract_x
_atom_site_fract_y
_atom_site_fract_z
Sc1 Sc 0.117 0.250 0.106
Sn1 Sn 0.108 0.250 0.399
H1 H 0.018 0.250 0.918
# Spin magnetization in Bohr magnetons per cell: 0.0
# Crystal system: orthorhombic

---

Most stable structure - (two); separation to the second - 153 meV per atom.

---

(one)
# Sc2SnH2, optimized geometry, DFT PBE-GGA
data_Sc2SnH2
_chemical_formula_sum 'Sc4 Sn2 H4'
_cell_length_a 3.726
_cell_length_b 3.726
_cell_length_c 10.043
_cell_angle_alpha 90.00
_cell_angle_beta 90.00
_cell_angle_gamma 90.00
_space_group_name_H-M_alt 'I 4/m m m'
_space_group_IT_number 139
_space_group_name_Hall '-I 4 2'
loop_
_atom_site_label
_atom_site_type_symbol
_atom_site_fract_x
_atom_site_fract_y
_atom_site_fract_z
Sc1 Sc 0.000 0.000 0.158
Sn1 Sn 0.000 0.000 0.500
H1 H 0.000 0.500 0.250
# Spin magnetization in Bohr magnetons per cell: 0.0
# Crystal system: tetragonal

---

(two)
# Sc2SnH2, optimized geometry, DFT PBE-GGA
data_Sc2SnH2
_chemical_formula_sum 'Sc16 Sn8 H16'
_cell_length_a 5.599
_cell_length_b 9.393
_cell_length_c 10.639
_cell_angle_alpha 90.00
_cell_angle_beta 90.00
_cell_angle_gamma 90.00
_space_group_name_H-M_alt 'F d d d'
_space_group_IT_number 70
loop_
_space_group_symop_operation_xyz
'x,y,z'
'-x,-y,-z'
'-x+1/4,-y+1/4,z'
'x+1/4,y+1/4,-z'
'x,-y+1/4,-z+1/4'
'-x,y+1/4,z+1/4'
'-x+1/4,y,-z+1/4'
'x+1/4,-y,z+1/4'
'x,y+1/2,z+1/2'
'-x,-y+1/2,-z+1/2'
'-x+1/4,-y+3/4,z+1/2'
'x+1/4,y+3/4,-z+1/2'
'x,-y+3/4,-z+3/4'
'-x,y+3/4,z+3/4'
'-x+1/4,y+1/2,-z+3/4'
'x+1/4,-y+1/2,z+3/4'
'x+1/2,y,z+1/2'
'-x+1/2,-y,-z+1/2'
'-x+3/4,-y+1/4,z+1/2'
'x+3/4,y+1/4,-z+1/2'
'x+1/2,-y+1/4,-z+3/4'
'-x+1/2,y+1/4,z+3/4'
'-x+3/4,y,-z+3/4'
'x+3/4,-y,z+3/4'
'x+1/2,y+1/2,z'
'-x+1/2,-y+1/2,-z'
'-x+3/4,-y+3/4,z'
'x+3/4,y+3/4,-z'
'x+1/2,-y+3/4,-z+1/4'
'-x+1/2,y+3/4,z+1/4'
'-x+3/4,y+1/2,-z+1/4'
'x+3/4,-y+1/2,z+1/4'
loop_
_atom_site_label
_atom_site_type_symbol
_atom_site_fract_x
_atom_site_fract_y
_atom_site_fract_z
Sc1 Sc 0.125 0.297 0.125
Sn1 Sn 0.125 0.125 0.625
H1 H 0.125 0.125 0.003
# Spin magnetization in Bohr magnetons per cell: 0.0
# Crystal system: orthorhombic

---

Most stable structure - (one); separation to the second - 19 meV per atom.